(1)
Here is an optimized crystal structure of CaHg3S from Alexandria via LeMat-Bulk. Energies are from PBE.

Unit cell a=5.8653 b=5.8653 c=5.8653 alpha=90.00 beta=90.00 gamma=90.00
Element x y z (fractional)
Ca1 0.0000 0.0000 0.0000
Hg1 0.0000 0.0000 0.5000
Hg2 0.0000 0.5000 0.0000
Hg3 0.5000 0.0000 0.0000
S1 0.5000 0.5000 0.5000

Summary:
SG   Pm-3m, No. 221
N(E_F)   0.985 states/eV per atom
Relative energy among the computed polymorphs   0.291 eV/atom
Total magnetization   0.40 μB per formula unit


(2)
Here is an optimized crystal structure of CaHgS from Alexandria via LeMat-Bulk. Energies are from PBE.

Unit cell a=6.8592 b=6.8592 c=9.0737 alpha=127.21 beta=127.21 gamma=34.06
Element x y z (fractional)
Ca1 0.0000 0.0000 0.0000
Ca2 0.6617 0.6617 0.4988
Hg1 0.4565 0.4565 0.5797
Hg2 0.8957 0.8957 0.2460
S1 0.3215 0.3215 0.7422
S2 0.6745 0.6745 0.2141

Summary:
SG   Cm, No. 8
Relative energy among the computed polymorphs   0.050 eV/atom
Total magnetization   0.00 μB per formula unit


(3)
Here is an optimized crystal structure of Ca3HgS from Alexandria via LeMat-Bulk. Energies are from PBE.

Unit cell a=5.3716 b=5.3716 c=5.3716 alpha=90.00 beta=90.00 gamma=90.00
Element x y z (fractional)
Ca1 0.0000 0.0000 0.5000
Ca2 0.0000 0.5000 0.0000
Ca3 0.5000 0.0000 0.0000
Hg1 0.5000 0.5000 0.5000
S1 0.0000 0.0000 0.0000

Summary:
SG   Pm-3m, No. 221
N(E_F)   0.693 states/eV per atom
Relative energy among the computed polymorphs   0.000 eV/atom
Total magnetization   0.00 μB per formula unit


(4)
Here is an optimized crystal structure of CaHgS from Alexandria via LeMat-Bulk. Energies are from PBE.

Unit cell a=3.8930 b=6.6989 c=7.2768 alpha=95.77 beta=90.01 gamma=106.42
Element x y z (fractional)
Ca1 0.0000 0.0000 0.0000
Ca2 0.0000 0.0000 0.5000
Hg1 0.2193 0.4440 0.3036
Hg2 0.7807 0.5560 0.6964
S1 0.4399 0.8770 0.2372
S2 0.5601 0.1230 0.7628

Summary:
SG   P-1, No. 2
Relative energy among the computed polymorphs   0.000 eV/atom
Total magnetization   0.00 μB per formula unit


(5)
Here is an optimized crystal structure of CaHgS from Alexandria via LeMat-Bulk. Energies are from PBE.

Unit cell a=4.1708 b=4.1708 c=5.4814 alpha=90.00 beta=90.00 gamma=120.00
Element x y z (fractional)
Ca1 0.0000 0.0000 0.0000
Hg1 0.6667 0.3333 0.5805
S1 0.3333 0.6667 0.2275

Summary:
SG   P3m1, No. 156
N(E_F)   0.000 states/eV per atom
Relative energy among the computed polymorphs   0.068 eV/atom
Total magnetization   0.00 μB per formula unit


(6)
Here is an optimized crystal structure of CaHgS2 from Alexandria via LeMat-Bulk. Energies are from PBE.

Unit cell a=6.6036 b=7.2645 c=4.2247 alpha=90.00 beta=90.00 gamma=90.00
Element x y z (fractional)
Ca1 0.0000 0.0000 0.0000
Ca2 0.5000 0.5000 0.5000
Hg1 0.0000 0.5000 0.0000
Hg2 0.5000 0.0000 0.5000
S1 0.2105 0.1943 0.5000
S2 0.2895 0.6943 0.0000
S3 0.7105 0.3057 0.0000
S4 0.7895 0.8057 0.5000

Summary:
SG   Pnnm, No. 58
N(E_F)   0.000 states/eV per atom
Total magnetization   0.00 μB per formula unit


(7)
Here is an optimized crystal structure of CaHgS from Alexandria via LeMat-Bulk. Energies are from PBE.

Unit cell a=9.5126 b=9.5126 c=9.5126 alpha=29.29 beta=29.29 gamma=29.29
Element x y z (fractional)
Ca1 0.1146 0.1146 0.1146
Ca2 0.8854 0.8854 0.8854
Hg1 0.3255 0.3255 0.3255
Hg2 0.6745 0.6745 0.6745
S1 0.2163 0.2163 0.2163
S2 0.7837 0.7837 0.7837

Summary:
SG   R-3m, No. 166
N(E_F)   0.060 states/eV per atom
Relative energy among the computed polymorphs   0.008 eV/atom
Total magnetization   0.00 μB per formula unit


(8)
Here is an optimized crystal structure of CaHgS from Alexandria via LeMat-Bulk. Energies are from PBE.

Unit cell a=3.8731 b=6.5030 c=7.6485 alpha=90.01 beta=90.00 gamma=97.60
Element x y z (fractional)
Ca1 0.0000 0.0000 0.0000
Ca2 0.0231 0.1108 0.5001
Hg1 0.2476 0.5850 0.6092
Hg2 0.7743 0.5250 0.1063
S1 0.5036 0.0156 0.7444
S2 0.5195 0.0953 0.2443

Summary:
SG   P1, No. 1
N(E_F)   0.000 states/eV per atom
Relative energy among the computed polymorphs   0.006 eV/atom
Total magnetization   0.00 μB per formula unit


(9)
Here is an optimized crystal structure of CaHgS from Alexandria via LeMat-Bulk. Energies are from PBE.

Unit cell a=3.8778 b=3.8778 c=6.3290 alpha=95.25 beta=95.25 gamma=89.90
Element x y z (fractional)
Ca1 0.0000 0.0000 0.0000
Hg1 0.2270 0.2270 0.4957
S1 0.4952 0.4952 0.9569

Summary:
SG   Cm, No. 8
N(E_F)   0.000 states/eV per atom
Relative energy among the computed polymorphs   0.008 eV/atom
Total magnetization   0.00 μB per formula unit


(10)
Here is an optimized crystal structure of CaHg2SbS from Alexandria via LeMat-Bulk. Energies are from PBE.

Unit cell a=5.6930 b=5.6930 c=5.9862 alpha=90.00 beta=90.00 gamma=90.00
Element x y z (fractional)
Ca1 0.0000 0.0000 0.0000
Hg1 0.0000 0.5000 0.0000
Hg2 0.5000 0.0000 0.0000
Sb1 0.0000 0.0000 0.5000
S1 0.5000 0.5000 0.5000

Summary:
SG   P4/mmm, No. 123
N(E_F)   0.819 states/eV per atom
Total magnetization   0.00 μB per formula unit


(11)
Here is an optimized crystal structure of CaSi2HgS6 from Alexandria via LeMat-Bulk. Energies are from PBE.

Unit cell a=8.8803 b=8.8803 c=6.4963 alpha=103.63 beta=103.63 gamma=88.38
Element x y z (fractional)
Ca1 0.1128 0.8872 0.7500
Ca2 0.8872 0.1128 0.2500
Si1 0.2231 0.3663 0.7705
Si2 0.3663 0.2231 0.2705
Si3 0.6337 0.7769 0.7295
Si4 0.7769 0.6337 0.2295
Hg1 0.2915 0.7085 0.2500
Hg2 0.7085 0.2915 0.7500
S1 0.0464 0.1966 0.6810
S2 0.1369 0.5923 0.8912
S3 0.1966 0.0464 0.1810
S4 0.3134 0.4197 0.5095
S5 0.4077 0.8631 0.6088
S6 0.4197 0.3134 0.0095
S7 0.5803 0.6866 0.9905
S8 0.5923 0.1369 0.3912
S9 0.6866 0.5803 0.4905
S10 0.8034 0.9536 0.8190
S11 0.8631 0.4077 0.1088
S12 0.9536 0.8034 0.3190

Summary:
SG   C2/c, No. 15
N(E_F)   0.000 states/eV per atom
Total magnetization   0.00 μB per formula unit


(12)
Here is an optimized crystal structure of SrCaHg2S from Alexandria via LeMat-Bulk. Energies are from PBE.

Unit cell a=5.7944 b=5.7944 c=5.1409 alpha=90.00 beta=90.00 gamma=90.00
Element x y z (fractional)
Sr1 0.0000 0.0000 0.0000
Ca1 0.5000 0.5000 0.5000
Hg1 0.0000 0.5000 0.5000
Hg2 0.5000 0.0000 0.5000
S1 0.5000 0.5000 0.0000

Summary:
SG   P4/mmm, No. 123
N(E_F)   0.618 states/eV per atom
Total magnetization   0.00 μB per formula unit


(13)
Here is an optimized crystal structure of CaTiHgS2 from Alexandria via LeMat-Bulk. Energies are from PBE.

Unit cell a=5.1686 b=5.1686 c=5.3505 alpha=90.00 beta=90.00 gamma=90.00
Element x y z (fractional)
Ca1 0.0000 0.0000 0.0000
Ti1 0.5000 0.5000 0.0000
Hg1 0.0000 0.0000 0.5000
S1 0.0000 0.5000 0.5000
S2 0.5000 0.0000 0.5000

Summary:
SG   P4/mmm, No. 123
N(E_F)   1.249 states/eV per atom
Total magnetization   0.69 μB per formula unit


(14)
Here is an optimized crystal structure of CaUHg2S6 from Alexandria via LeMat-Bulk. Energies are from PBE.

Unit cell a=7.5168 b=7.5168 c=7.5168 alpha=54.15 beta=54.15 gamma=54.15
Element x y z (fractional)
Ca1 0.0000 0.0000 0.0000
U1 0.5000 0.5000 0.5000
Hg1 0.2415 0.2415 0.2415
Hg2 0.7585 0.7585 0.7585
S1 0.1290 0.7291 0.4000
S2 0.2709 0.6000 0.8710
S3 0.4000 0.1290 0.7291
S4 0.6000 0.8710 0.2709
S5 0.7291 0.4000 0.1290
S6 0.8710 0.2709 0.6000

Summary:
SG   R-3, No. 148
Total magnetization   0.00 μB per formula unit


(15)
Here is an optimized crystal structure of Ca2VHgS from Alexandria via LeMat-Bulk. Energies are from PBE.

Unit cell a=5.8392 b=5.8392 c=5.0067 alpha=90.00 beta=90.00 gamma=90.00
Element x y z (fractional)
Ca1 0.0000 0.5000 0.0000
Ca2 0.5000 0.0000 0.0000
V1 0.0000 0.0000 0.5000
Hg1 0.5000 0.5000 0.0000
S1 0.5000 0.5000 0.5000

Summary:
SG   P4/mmm, No. 123
N(E_F)   1.528 states/eV per atom
Total magnetization   0.10 μB per formula unit


(16)
Here is an optimized crystal structure of CaHgSb2 from Alexandria via LeMat-Bulk. Energies are from PBE.

Unit cell a=5.9141 b=5.9141 c=3.3269 alpha=90.00 beta=90.00 gamma=90.00
Element x y z (fractional)
Ca1 0.0000 0.0000 0.0000
Hg1 0.5000 0.5000 0.5012
Sb1 0.0000 0.5000 0.4994
Sb2 0.5000 0.0000 0.4994

Summary:
SG   P4mm, No. 99
N(E_F)   0.413 states/eV per atom
Total magnetization   0.00 μB per formula unit


(17)
Here is an optimized crystal structure of CaHgSb2 from Alexandria via LeMat-Bulk. Energies are from PBE.

Unit cell a=5.4106 b=5.4106 c=5.4106 alpha=60.00 beta=60.00 gamma=60.00
Element x y z (fractional)
Ca1 0.0000 0.0000 0.0000
Hg1 0.2500 0.2500 0.2500
Sb1 0.5000 0.5000 0.5000
Sb2 0.7500 0.7500 0.7500

Summary:
SG   F-43m, No. 216
N(E_F)   0.849 states/eV per atom
Total magnetization   0.00 μB per formula unit


(18)
Here is an optimized crystal structure of Ca2HgSb2 from Alexandria via LeMat-Bulk. Energies are from PBE.

Unit cell a=9.2491 b=9.2491 c=3.5547 alpha=90.00 beta=90.00 gamma=90.00
Element x y z (fractional)
Ca1 0.1399 0.3601 0.0000
Ca2 0.3601 0.8601 0.0000
Ca3 0.6399 0.1399 0.0000
Ca4 0.8601 0.6399 0.0000
Hg1 0.0000 0.0000 0.0000
Hg2 0.5000 0.5000 0.0000
Sb1 0.1604 0.6604 0.5000
Sb2 0.3396 0.1604 0.5000
Sb3 0.6604 0.8396 0.5000
Sb4 0.8396 0.3396 0.5000

Summary:
SG   P4/mbm, No. 127
N(E_F)   0.660 states/eV per atom
Total magnetization   0.00 μB per formula unit


(19)
Here is an optimized crystal structure of Ca2Hg3Sb from Alexandria via LeMat-Bulk. Energies are from PBE.

Unit cell a=10.0732 b=9.4845 c=6.2044 alpha=76.75 beta=66.42 gamma=36.84
Element x y z (fractional)
Ca1 0.2488 0.7512 0.7512
Ca2 0.2500 0.2500 0.2500
Ca3 0.7500 0.7500 0.7500
Ca4 0.7512 0.2488 0.2488
Hg1 0.1618 0.1618 0.8382
Hg2 0.1691 0.6686 0.3314
Hg3 0.3314 0.8309 0.1691
Hg4 0.6686 0.1691 0.8309
Hg5 0.8309 0.3314 0.6686
Hg6 0.8382 0.8382 0.1618
Sb1 0.3308 0.3308 0.6692
Sb2 0.6692 0.6692 0.3308

Summary:
SG   Fmmm, No. 69
N(E_F)   0.373 states/eV per atom
Total magnetization   0.00 μB per formula unit


(20)
Here is an optimized crystal structure of Ca2HgSb2 from Alexandria via LeMat-Bulk. Energies are from PBE.

Unit cell a=8.9027 b=8.9027 c=8.9027 alpha=151.58 beta=151.58 gamma=40.62
Element x y z (fractional)
Ca1 0.1078 0.1078 0.0000
Ca2 0.8922 0.8922 0.0000
Hg1 0.5000 0.5000 0.0000
Sb1 0.2500 0.7500 0.5000
Sb2 0.7500 0.2500 0.5000

Summary:
SG   I4/mmm, No. 139
N(E_F)   0.627 states/eV per atom
Total magnetization   0.00 μB per formula unit


(21)
Here is an optimized crystal structure of CaHgSb2 from Alexandria via LeMat-Bulk. Energies are from PBE.

Unit cell a=6.7963 b=6.7963 c=6.7963 alpha=103.18 beta=103.18 gamma=122.95
Element x y z (fractional)
Ca1 0.0000 0.0000 0.0000
Ca2 0.7500 0.2500 0.5000
Hg1 0.2500 0.7500 0.5000
Hg2 0.5000 0.5000 0.0000
Sb1 0.1599 0.1250 0.5349
Sb2 0.3750 0.8401 0.9651
Sb3 0.5901 0.6250 0.4651
Sb4 0.8750 0.4099 0.0349

Summary:
SG   I-42d, No. 122
N(E_F)   0.020 states/eV per atom
Total magnetization   0.00 μB per formula unit


(22)
Here is an optimized crystal structure of Ca8Hg2Sb from Alexandria via LeMat-Bulk. Energies are from PBE.

Unit cell a=9.4317 b=9.4317 c=9.4317 alpha=148.48 beta=124.78 gamma=64.98
Element x y z (fractional)
Ca1 0.1191 0.3355 0.7837
Ca2 0.1413 0.1413 0.0000
Ca3 0.3120 0.0000 0.3120
Ca4 0.4482 0.6645 0.7837
Ca5 0.5518 0.3355 0.2163
Ca6 0.6880 0.0000 0.6880
Ca7 0.8587 0.8587 0.0000
Ca8 0.8809 0.6645 0.2163
Hg1 0.3084 0.8084 0.5000
Hg2 0.6916 0.1916 0.5000
Sb1 0.0000 0.5000 0.5000

Summary:
SG   Immm, No. 71
N(E_F)   0.552 states/eV per atom
Total magnetization   0.00 μB per formula unit


(23)
Here is an optimized crystal structure of CaHgSb2 from Alexandria via LeMat-Bulk. Energies are from PBE.

Unit cell a=8.6586 b=8.6586 c=8.6586 alpha=27.21 beta=27.21 gamma=27.21
Element x y z (fractional)
Ca1 0.0000 0.0000 0.0000
Hg1 0.5000 0.5000 0.5000
Sb1 0.2412 0.2412 0.2412
Sb2 0.7588 0.7588 0.7588

Summary:
SG   R-3m, No. 166
N(E_F)   0.921 states/eV per atom
Total magnetization   0.00 μB per formula unit


(24)
Here is an optimized crystal structure of CaHg2Sb2 from Alexandria via LeMat-Bulk. Energies are from PBE.

Unit cell a=8.2032 b=8.2032 c=4.0429 alpha=90.00 beta=90.00 gamma=90.00
Element x y z (fractional)
Ca1 0.0000 0.0000 0.0000
Ca2 0.5000 0.5000 0.0000
Hg1 0.1247 0.3753 0.0000
Hg2 0.3753 0.8753 0.0000
Hg3 0.6247 0.1247 0.0000
Hg4 0.8753 0.6247 0.0000
Sb1 0.1826 0.6826 0.5000
Sb2 0.3174 0.1826 0.5000
Sb3 0.6826 0.8174 0.5000
Sb4 0.8174 0.3174 0.5000

Summary:
SG   P4/mbm, No. 127
N(E_F)   0.474 states/eV per atom
Total magnetization   0.00 μB per formula unit


(25)
Here is an optimized crystal structure of CaHgSb2 from Alexandria via LeMat-Bulk. Energies are from PBE.

Unit cell a=6.3862 b=6.3862 c=4.8879 alpha=111.94 beta=111.94 gamma=38.88
Element x y z (fractional)
Ca1 0.0000 0.0000 0.0000
Hg1 0.2125 0.2125 0.7123
Sb1 0.4831 0.4831 0.4844
Sb2 0.7882 0.7882 0.2851

Summary:
SG   Cm, No. 8
N(E_F)   0.356 states/eV per atom
Total magnetization   0.00 μB per formula unit


(26)
Here is an optimized crystal structure of CaHgSb2 from Alexandria via LeMat-Bulk. Energies are from PBE.

Unit cell a=5.6837 b=5.6837 c=3.5042 alpha=90.00 beta=90.00 gamma=105.20
Element x y z (fractional)
Ca1 0.0000 0.0000 0.0000
Hg1 0.5000 0.5000 0.0000
Sb1 0.0000 0.5000 0.5000
Sb2 0.5000 0.0000 0.5000

Summary:
SG   Cmmm, No. 65
N(E_F)   0.484 states/eV per atom
Total magnetization   0.00 μB per formula unit


Values of formation energy without anion corrections, in order: 0.405 -1.121 -0.881 -1.171 -1.103 -1.128 -1.164 -1.166 -1.164 0.536 -0.801 -0.534 0.744 -0.821 0.896 -0.323 -0.260 -0.600 -0.499 -0.453 -0.331 -0.359 -0.140 -0.202 -0.371 -0.337, all in eV per atom.